Density functional theory data (PBE) for an optimized crystal structure of EuAlAg.

a = 4.672 Å, b = 4.672 Å, c = 3.924 Å
α = 90.00°, β = 90.00°, γ = 120.00°
Positions (direct):
Eu (0.000, 0.000, 0.000)
Al (0.333, 0.667, 0.500)
Ag (0.667, 0.333, 0.500)

Output
**V**: 74.2 Å³ per cell
**E_form**: -0.29 eV per atom
**Electronic total energy**: -5.91 eV per atom
**Density**: 6.42 g/cm3